# K2FeNi GGA-PBE optimized geometry
data_K2FeNi
_cell_length_a 4.0835
_cell_length_b 4.3586
_cell_length_c 5.3047
_cell_angle_alpha 90.00
_cell_angle_beta 90.00
_cell_angle_gamma 90.00
_space_group_name_H-M_alt 'P m m m'
_space_group_IT_number 47
_space_group_name_Hall '-P 2 2'
loop_
_atom_site_label
_atom_site_fract_x
_atom_site_fract_y
_atom_site_fract_z
K1 0.0000 0.0000 0.0000
K2 0.5000 0.5000 0.0000
Fe1 0.0000 0.5000 0.5000
Ni1 0.5000 0.0000 0.5000
# - E_tot (eV per cell) = -11.83
# - energy of formation (eV/f.u.) = 4.61
# - DOS(E_F) (states/eV/f.u.) = 3.52